(1)
The following is a DFT calculation (PBE) of a relaxed structure of SrRu2Se.

```
SrRu2Se
1.0
-2.237 2.237 3.876
2.237 -2.237 3.876
2.237 2.237 -3.876
Sr Ru Se
1 2 1
Cartesian
0.000 0.000 0.000
2.237 0.000 1.938
0.000 0.000 3.876
0.000 2.237 1.938
```

Output
- calculated total energy (eV per cell) = -21.72
- symmetry = I-4m2, No. 119
- mass density (g/cm³) = 7.9
- ΔE_f (raw) (eV/atom) = 0.498



(2)
The following is a DFT calculation (PBE) of a relaxed structure of LiAcGaN2.

```
LiAcGaN2
1.0
5.701 0.000 0.000
0.000 4.124 0.000
-0.421 0.000 6.840
Li Ac Ga N
2 2 2 4
Cartesian
-0.105 0.157 1.710
-0.315 3.967 5.130
2.535 1.035 5.130
2.745 3.089 1.710
0.000 2.062 0.000
-0.210 2.062 3.420
1.401 0.947 0.521
1.191 3.177 3.940
4.089 0.947 2.899
3.879 3.177 6.319
```

Output
- calculated total energy (eV per cell) = -55.75
- symmetry = P2/c, No. 13
- mass density (g/cm³) = 6.8
- ΔE_f (raw) (eV/atom) = -0.435



(3)
The following is a DFT calculation (PBE) of a relaxed structure of InPtAu2.

```
InPtAu2
1.0
-1.969 1.969 10.087
1.969 -1.969 10.087
1.969 1.969 -10.087
In Pt Au
2 2 4
Cartesian
0.000 0.000 0.000
0.000 1.969 5.044
1.969 0.000 5.044
0.000 0.000 10.087
0.984 -0.960 7.566
1.008 0.984 2.522
0.984 2.929 -2.522
0.960 0.984 12.609
```

Output
- calculated total energy (eV per cell) = -31.40
- symmetry = I-42d, No. 122
- mass density (g/cm³) = 14.9
- ΔE_f (eV/atom) = -0.092



(4)
The following is a DFT calculation (PBE) of a relaxed structure of SrZnCu2.

```
SrZnCu2
1.0
-2.440 2.440 3.354
2.440 -2.440 3.354
2.440 2.440 -3.354
Sr Zn Cu
1 1 2
Cartesian
0.000 0.000 0.000
0.000 2.440 1.677
2.440 0.000 1.677
0.000 0.000 3.354
```

Output
- calculated total energy (eV per cell) = -10.51
- symmetry = I-4m2, No. 119
- mass density (g/cm³) = 5.8
- ΔE_f (eV/atom) = 0.161



(5)
The following is a DFT calculation (PBE) of a relaxed structure of RbAs2IrO8.

```
RbAs2IrO8
1.0
2.743 1.584 8.869
-2.743 1.584 8.869
0.000 -3.167 8.869
Rb As Ir O
1 2 1 8
Cartesian
0.000 0.000 0.000
0.000 0.000 6.185
0.000 0.000 20.421
0.000 0.000 13.303
-1.300 -0.766 12.056
0.000 0.000 7.849
-0.013 -1.509 14.550
-1.300 0.766 14.550
-0.013 1.509 12.056
1.313 -0.743 12.056
0.000 0.000 18.758
1.313 0.743 14.550
```

Output
- calculated total energy (eV per cell) = -70.41
- symmetry = R32, No. 155
- mass density (g/cm³) = 4.0
- ΔE_f (raw) (eV/atom) = -0.968



(6)
The following is a DFT calculation (PBE) of a relaxed structure of FeCoW.

```
FeCoW
1.0
0.000 2.801 2.801
2.801 0.000 2.801
2.801 2.801 0.000
Fe Co W
1 1 1
Cartesian
0.000 0.000 0.000
4.202 4.202 4.202
2.801 2.801 2.801
```

Output
- polymorph energy (0 for the lowest one) (eV per atom) = 0.604
- calculated total energy (eV per cell) = -26.72
- symmetry = F-43m, No. 216
- mass density (g/cm³) = 11.3
- ΔE_f (eV/atom) = 0.599